Entry 1:
LaTmPtRh | GGA-PBE | relaxed

```
LaTmPtRh
1.0
7.0585 0.0000 0.0000
0.0000 7.0585 0.0000
0.0000 0.0000 7.0585
La Tm Pt Rh
4 4 4 4
direct
0.0000 0.0000 0.0000
0.0000 0.5000 0.5000
0.5000 0.0000 0.5000
0.5000 0.5000 0.0000
0.0000 0.0000 0.5000
0.0000 0.5000 0.0000
0.5000 0.0000 0.0000
0.5000 0.5000 0.5000
0.2500 0.2500 0.7500
0.2500 0.7500 0.2500
0.7500 0.2500 0.2500
0.7500 0.7500 0.7500
0.2500 0.2500 0.2500
0.2500 0.7500 0.7500
0.7500 0.2500 0.7500
0.7500 0.7500 0.2500
```

**Crystal system**: cubic
**Energy of formation from the pure elements**: -0.948 eV per atom
**Uncorrected energy**: -106.33 eV per cell
**Total magnetic moment**: 0.0000 μB per atom

=====

Entry 2:
LaZn3PtRh | GGA-PBE | relaxed

```
LaZn3PtRh
1.0
3.2448 -6.3467 0.0000
3.2448 6.3467 0.0000
0.0000 0.0000 5.5116
La Zn Pt Rh
2 6 2 2
direct
0.2312 0.7688 0.7500
0.7688 0.2312 0.2500
0.1973 0.1973 0.0000
0.1973 0.1973 0.5000
0.3602 0.6398 0.2500
0.6398 0.3602 0.7500
0.8027 0.8027 0.0000
0.8027 0.8027 0.5000
0.1542 0.8458 0.2500
0.8458 0.1542 0.7500
0.4366 0.5634 0.7500
0.5634 0.4366 0.2500
```

**Crystal system**: orthorhombic
**Energy of formation from the pure elements**: -0.547 eV per atom
**Uncorrected energy**: -50.85 eV per cell
**Total magnetic moment**: 0.0000 μB per atom

=====

Entry 3:
LaZnPt3Rh | GGA-PBE | relaxed

```
LaZnPt3Rh
1.0
3.3720 -6.0454 0.0000
3.3720 6.0454 0.0000
0.0000 0.0000 5.6378
La Zn Pt Rh
2 2 6 2
direct
0.2114 0.7886 0.7500
0.7886 0.2114 0.2500
0.1456 0.8544 0.2500
0.8544 0.1456 0.7500
0.1992 0.1992 0.0000
0.1992 0.1992 0.5000
0.3523 0.6477 0.2500
0.6477 0.3523 0.7500
0.8008 0.8008 0.0000
0.8008 0.8008 0.5000
0.4199 0.5801 0.7500
0.5801 0.4199 0.2500
```

**Crystal system**: orthorhombic
**Energy of formation from the pure elements**: -0.474 eV per atom
**Uncorrected energy**: -69.03 eV per cell
**Total magnetic moment**: 0.0000 μB per atom

=====

Entry 4:
LaZnPtRh | GGA-PBE | relaxed

```
LaZnPtRh
1.0
4.1794 0.0000 0.0000
0.0000 3.7607 0.0000
0.0000 0.0000 10.2924
La Zn Pt Rh
2 2 2 2
direct
0.0000 0.0000 0.0000
0.0000 0.5000 0.5000
0.5000 0.0000 0.6983
0.5000 0.5000 0.1983
0.5000 0.0000 0.4129
0.5000 0.5000 0.9129
0.0000 0.0000 0.2446
0.0000 0.5000 0.7446
```

**Crystal system**: orthorhombic
**Energy of formation from the pure elements**: -0.616 eV per atom
**Uncorrected energy**: -44.12 eV per cell
**Total magnetic moment**: 0.0000 μB per atom

=====

Entry 5:
La2ZnPt5Rh2 | GGA-PBE | relaxed

```
La2ZnPt5Rh2
1.0
9.5424 0.0000 0.0000
0.0000 9.5424 0.0000
0.0000 0.0000 4.1084
La Zn Pt Rh
4 2 10 4
direct
0.1735 0.3265 0.0000
0.3265 0.8265 0.0000
0.6735 0.1735 0.0000
0.8265 0.6735 0.0000
0.0000 0.0000 0.0000
0.5000 0.5000 0.0000
0.0000 0.5000 0.5000
0.0586 0.8021 0.5000
0.1979 0.0586 0.5000
0.3021 0.5586 0.5000
0.4414 0.3021 0.5000
0.5000 0.0000 0.5000
0.5586 0.6979 0.5000
0.6979 0.4414 0.5000
0.8021 0.9414 0.5000
0.9414 0.1979 0.5000
0.1285 0.6285 0.0000
0.3715 0.1285 0.0000
0.6285 0.8715 0.0000
0.8715 0.3715 0.0000
```

**Crystal system**: tetragonal
**Energy of formation from the pure elements**: -0.682 eV per atom
**Uncorrected energy**: -125.71 eV per cell
**Total magnetic moment**: 0.0001 μB per atom

=====

Entry 6:
La14Ru3Pt6 | GGA-PBE | relaxed

```
La14Ru3Pt6
1.0
10.2594 0.0000 0.0000
-5.1297 8.8849 0.0000
0.0000 0.0000 7.2620
La Ru Pt
14 3 6
direct
0.0000 0.0000 0.0000
0.0785 0.5392 0.7221
0.1993 0.3986 0.2422
0.1993 0.8007 0.2422
0.2504 0.1252 0.5798
0.4186 0.2093 0.0717
0.4608 0.5392 0.7221
0.4608 0.9215 0.7221
0.6014 0.8007 0.2422
0.6667 0.3333 0.4883
0.7907 0.2093 0.0717
0.7907 0.5814 0.0717
0.8748 0.1252 0.5798
0.8748 0.7496 0.5798
0.0000 0.0000 0.3619
0.3333 0.6667 0.4695
0.6667 0.3333 0.8592
0.1478 0.2956 0.8392
0.1478 0.8522 0.8392
0.5176 0.0352 0.3320
0.5176 0.4824 0.3320
0.7044 0.8522 0.8392
0.9648 0.4824 0.3320
```

**Crystal system**: trigonal
**Energy of formation from the pure elements**: -0.739 eV per atom
**Uncorrected energy**: -150.06 eV per cell
**Total magnetic moment**: 0.0000 μB per atom

=====

Entry 7:
La5Ru2Pt | GGA-PBE | relaxed

```
La5Ru2Pt
1.0
-3.9040 3.9040 7.0043
3.9040 -3.9040 7.0043
3.9040 3.9040 -7.0043
La Ru Pt
10 4 2
direct
0.0000 0.0000 0.0000
0.0321 0.5321 0.8385
0.1935 0.0321 0.5000
0.3065 0.8065 0.8385
0.4679 0.3065 0.5000
0.5000 0.5000 0.0000
0.5321 0.6935 0.5000
0.6935 0.1935 0.1615
0.8065 0.9679 0.5000
0.9679 0.4679 0.1615
0.1373 0.3627 0.5000
0.3627 0.8627 0.2253
0.6373 0.1373 0.7747
0.8627 0.6373 0.5000
0.2500 0.2500 0.0000
0.7500 0.7500 0.0000
```

**Crystal system**: tetragonal
**Energy of formation from the pure elements**: -0.502 eV per atom
**Uncorrected energy**: -106.50 eV per cell
**Total magnetic moment**: 0.0000 μB per atom

=====

Entry 8:
LaRuPt3 | GGA-PBE | relaxed

```
LaRuPt3
1.0
5.1589 0.0000 0.0000
0.0000 5.1589 0.0000
0.0000 0.0000 5.1589
La Ru Pt
1 1 3
direct
0.0000 0.0000 0.0000
0.5000 0.5000 0.5000
0.0000 0.0000 0.5000
0.0000 0.5000 0.0000
0.5000 0.0000 0.0000
```

**ΔE to the lowest computed polymorph**: 1.4401 eV/atom
**Crystal system**: cubic
**Energy of formation from the pure elements**: 1.546 eV per atom
**Uncorrected energy**: -24.60 eV per cell
**Total magnetic moment**: 0.5540 μB per atom

=====

Entry 9:
La4Ru2Pt | GGA-PBE | relaxed

```
La4Ru2Pt
1.0
4.4005 -6.4385 0.0000
4.4005 6.4385 0.0000
-4.3741 0.0000 6.4393
La Ru Pt
8 4 2
direct
0.0045 0.9955 0.5000
0.1037 0.6046 0.2331
0.3961 0.5192 0.6257
0.5166 0.8935 0.1273
0.5192 0.3961 0.1257
0.6046 0.1037 0.7331
0.8935 0.5166 0.6273
0.9955 0.0045 0.0000
0.2452 0.9011 0.7699
0.6206 0.7585 0.5078
0.7585 0.6206 0.0078
0.9011 0.2452 0.2699
0.1337 0.3808 0.8689
0.3808 0.1337 0.3689
```

**Crystal system**: monoclinic
**Energy of formation from the pure elements**: -0.494 eV per atom
**Uncorrected energy**: -95.52 eV per cell
**Total magnetic moment**: 0.0000 μB per atom

=====

Entry 10:
La8Ru3Pt | GGA-PBE | relaxed

```
La8Ru3Pt
1.0
8.6898 -2.8601 0.0000
8.6898 2.8601 0.0000
-2.9093 0.0000 8.7294
La Ru Pt
8 3 1
direct
0.0000 0.0000 0.0000
0.1058 0.1058 0.6408
0.2147 0.2147 0.3309
0.3144 0.3144 0.9954
0.4261 0.4261 0.6506
0.5381 0.5381 0.3081
0.7728 0.7728 0.6776
0.8811 0.8811 0.3149
0.0519 0.0519 0.2847
0.2606 0.2606 0.6864
0.3614 0.3614 0.2893
0.9421 0.9421 0.6667
```

**Crystal system**: monoclinic
**Energy of formation from the pure elements**: -0.337 eV per atom
**Uncorrected energy**: -77.34 eV per cell
**Total magnetic moment**: 0.0000 μB per atom

=====

Entry 11:
La2RuPt | GGA-PBE | relaxed

```
La2RuPt
1.0
4.0768 0.0000 0.0000
0.0000 4.3114 0.0000
-2.0373 0.0000 5.5151
La Ru Pt
2 1 1
direct
0.0000 0.0000 0.0000
0.2852 0.5000 0.5724
0.7409 0.0000 0.4855
0.5682 0.5000 0.1364
```

**Crystal system**: monoclinic
**Energy of formation from the pure elements**: -0.658 eV per atom
**Uncorrected energy**: -27.80 eV per cell
**Total magnetic moment**: 0.0000 μB per atom

=====

Entry 12:
La2Ru2Pt | GGA-PBE | relaxed

```
La2Ru2Pt
1.0
7.1105 0.0000 0.0000
0.0000 7.1105 0.0000
0.0000 0.0000 4.2884
La Ru Pt
4 4 2
direct
0.1896 0.3104 0.0000
0.3104 0.8104 0.0000
0.6896 0.1896 0.0000
0.8104 0.6896 0.0000
0.1260 0.6260 0.5000
0.3740 0.1260 0.5000
0.6260 0.8740 0.5000
0.8740 0.3740 0.5000
0.0000 0.0000 0.5000
0.5000 0.5000 0.5000
```

**Crystal system**: tetragonal
**Energy of formation from the pure elements**: -0.368 eV per atom
**Uncorrected energy**: -72.57 eV per cell
**Total magnetic moment**: 0.0000 μB per atom

=====

Entry 13:
La2RuPt | GGA-PBE | relaxed

```
La2RuPt
1.0
6.9936 0.0000 0.0000
0.0000 6.9936 0.0000
0.0000 0.0000 6.9936
La Ru Pt
8 4 4
direct
0.0000 0.0000 0.0000
0.0000 0.5000 0.5000
0.2500 0.2500 0.2500
0.2500 0.7500 0.7500
0.5000 0.0000 0.5000
0.5000 0.5000 0.0000
0.7500 0.2500 0.7500
0.7500 0.7500 0.2500
0.0000 0.0000 0.5000
0.0000 0.5000 0.0000
0.5000 0.0000 0.0000
0.5000 0.5000 0.5000
0.2500 0.2500 0.7500
0.2500 0.7500 0.2500
0.7500 0.2500 0.2500
0.7500 0.7500 0.7500
```

**Crystal system**: cubic
**Energy of formation from the pure elements**: -0.301 eV per atom
**Uncorrected energy**: -105.51 eV per cell
**Total magnetic moment**: 0.0004 μB per atom

=====

Entry 14:
La7RuPt4 | GGA-PBE | relaxed

```
La7RuPt4
1.0
6.9485 -2.0769 0.0000
6.9485 2.0769 0.0000
-3.3637 0.0000 12.1593
La Ru Pt
7 1 4
direct
0.0000 0.0000 0.0000
0.2137 0.2137 0.8542
0.2884 0.2884 0.4126
0.5231 0.5231 0.2760
0.5965 0.5965 0.5843
0.7525 0.7525 0.1414
0.9075 0.9075 0.6845
0.1452 0.1452 0.2123
0.2522 0.2522 0.6356
0.3720 0.3720 0.0611
0.5567 0.5567 0.8178
0.9503 0.9503 0.4510
```

**Crystal system**: monoclinic
**Energy of formation from the pure elements**: -0.873 eV per atom
**Uncorrected energy**: -78.41 eV per cell
**Total magnetic moment**: 0.0000 μB per atom

=====

Entry 15:
La6RuPt3 | GGA-PBE | relaxed

```
La6RuPt3
1.0
7.0824 0.0000 0.0000
0.0000 7.7804 0.0000
-6.9651 0.0000 10.8161
La Ru Pt
12 2 6
direct
0.0848 0.0598 0.2444
0.0848 0.4402 0.7444
0.2496 0.6871 0.0798
0.2496 0.8129 0.5798
0.3926 0.1757 0.0760
0.3926 0.3243 0.5760
0.6074 0.6757 0.4240
0.6074 0.8243 0.9240
0.7504 0.1871 0.4202
0.7504 0.3129 0.9202
0.9152 0.5598 0.2556
0.9152 0.9402 0.7556
0.0000 0.0000 0.0000
0.0000 0.5000 0.5000
0.3004 0.1063 0.7525
0.3004 0.3937 0.2525
0.5000 0.0000 0.5000
0.5000 0.5000 0.0000
0.6996 0.6063 0.7475
0.6996 0.8937 0.2475
```

**Crystal system**: monoclinic
**Energy of formation from the pure elements**: -0.801 eV per atom
**Uncorrected energy**: -129.95 eV per cell
**Total magnetic moment**: 0.0000 μB per atom

=====

Entry 16:
LaRu4Pt | GGA-PBE | relaxed

```
LaRu4Pt
1.0
0.0000 3.7381 3.7381
3.7381 0.0000 3.7381
3.7381 3.7381 0.0000
La Ru Pt
1 4 1
direct
0.0000 0.0000 0.0000
0.3766 0.3766 0.3766
0.3766 0.3766 0.8702
0.3766 0.8702 0.3766
0.8702 0.3766 0.3766
0.7500 0.7500 0.7500
```

**Crystal system**: cubic
**Energy of formation from the pure elements**: 0.233 eV per atom
**Uncorrected energy**: -46.67 eV per cell
**Total magnetic moment**: 0.3003 μB per atom

=====

Entry 17:
La5RuPt | GGA-PBE | relaxed

```
La5RuPt
1.0
6.1160 -5.9432 0.0000
6.1160 5.9432 0.0000
-1.8356 0.0000 5.9672
La Ru Pt
10 2 2
direct
0.1062 0.8938 0.7500
0.1160 0.3404 0.8770
0.3069 0.5772 0.4567
0.3404 0.1160 0.3770
0.4228 0.6931 0.0433
0.5772 0.3069 0.9567
0.6596 0.8840 0.6230
0.6931 0.4228 0.5433
0.8840 0.6596 0.1230
0.8938 0.1062 0.2500
0.1490 0.8510 0.2500
0.8510 0.1490 0.7500
0.0000 0.5000 0.5000
0.5000 0.0000 0.0000
```

**Crystal system**: monoclinic
**Energy of formation from the pure elements**: -0.347 eV per atom
**Uncorrected energy**: -84.77 eV per cell
**Total magnetic moment**: 0.0000 μB per atom

=====

Entry 18:
La8RuPt5 | GGA-PBE | relaxed

```
La8RuPt5
1.0
-4.5406 4.5406 4.6027
4.5406 -4.5406 4.6027
4.5406 4.5406 -4.6027
La Ru Pt
8 1 5
direct
0.0042 0.3742 0.2517
0.1131 0.2572 0.7434
0.1225 0.7525 0.7483
0.2475 0.9958 0.3701
0.5139 0.3697 0.2566
0.6258 0.8775 0.6299
0.6303 0.8869 0.1441
0.7428 0.4861 0.8559
0.7500 0.2500 0.5000
0.0000 0.0000 0.0000
0.2536 0.6263 0.1314
0.3737 0.5051 0.6273
0.4949 0.1222 0.8686
0.8778 0.7464 0.3727
```

**Crystal system**: tetragonal
**Energy of formation from the pure elements**: -0.932 eV per atom
**Uncorrected energy**: -91.94 eV per cell
**Total magnetic moment**: 0.0000 μB per atom

=====

Entry 19:
La4RuPt | GGA-PBE | relaxed

```
La4RuPt
1.0
0.0000 4.2980 4.2980
4.2980 0.0000 4.2980
4.2980 4.2980 0.0000
La Ru Pt
4 1 1
direct
0.1253 0.1253 0.1253
0.1253 0.1253 0.6242
0.1253 0.6242 0.1253
0.6242 0.1253 0.1253
0.5000 0.5000 0.5000
0.7500 0.7500 0.7500
```

**ΔE to the lowest computed polymorph**: 1.1502 eV/atom
**Crystal system**: cubic
**Energy of formation from the pure elements**: 0.614 eV per atom
**Uncorrected energy**: -31.34 eV per cell
**Total magnetic moment**: 0.0000 μB per atom

=====

Entry 20:
La2RuPt | GGA-PBE | relaxed

```
La2RuPt
1.0
7.6947 0.0000 0.0000
0.0000 7.6947 0.0000
0.0000 0.0000 6.4816
La Ru Pt
8 4 4
direct
0.2288 0.2500 0.1250
0.2500 0.7288 0.3750
0.2500 0.7712 0.8750
0.2712 0.2500 0.6250
0.7288 0.7500 0.6250
0.7500 0.2288 0.8750
0.7500 0.2712 0.3750
0.7712 0.7500 0.1250
0.0000 0.0000 0.0000
0.0000 0.5000 0.2500
0.5000 0.0000 0.7500
0.5000 0.5000 0.5000
0.0000 0.0000 0.5000
0.0000 0.5000 0.7500
0.5000 0.0000 0.2500
0.5000 0.5000 0.0000
```

**Crystal system**: tetragonal
**Energy of formation from the pure elements**: -0.414 eV per atom
**Uncorrected energy**: -107.31 eV per cell
**Total magnetic moment**: 0.0000 μB per atom

=====

Entry 21:
La2RuPt | GGA-PBE | relaxed

```
La2RuPt
1.0
4.1676 0.0000 0.0000
-2.0838 3.6093 0.0000
0.0000 0.0000 20.4962
La Ru Pt
6 3 3
direct
0.0000 0.0000 0.2450
0.0000 0.0000 0.7550
0.3333 0.6667 0.4217
0.3333 0.6667 0.9116
0.6667 0.3333 0.0884
0.6667 0.3333 0.5783
0.0000 0.0000 0.5000
0.3333 0.6667 0.1667
0.6667 0.3333 0.8333
0.0000 0.0000 0.0000
0.3333 0.6667 0.6667
0.6667 0.3333 0.3333
```

**Crystal system**: trigonal
**Energy of formation from the pure elements**: -0.499 eV per atom
**Uncorrected energy**: -81.50 eV per cell
**Total magnetic moment**: 0.0000 μB per atom

=====

Entry 22:
La4RuPt | GGA-PBE | relaxed

```
La4RuPt
1.0
4.3282 -7.8110 0.0000
4.3282 7.8110 0.0000
-4.2645 0.0000 5.7234
La Ru Pt
8 2 2
direct
0.0223 0.4181 0.2251
0.1970 0.3001 0.7424
0.3001 0.1970 0.2424
0.4181 0.0223 0.7251
0.5819 0.9777 0.2749
0.6999 0.8030 0.7576
0.8030 0.6999 0.2576
0.9777 0.5819 0.7749
0.0875 0.9125 0.7500
0.9125 0.0875 0.2500
0.4149 0.5851 0.2500
0.5851 0.4149 0.7500
```

**ΔE to the lowest computed polymorph**: 0.0000 eV/atom
**Crystal system**: monoclinic
**Energy of formation from the pure elements**: -0.536 eV per atom
**Uncorrected energy**: -76.48 eV per cell
**Total magnetic moment**: 0.0000 μB per atom